A relaxed structure of TaZnHg2, computed with PBE.

The value obtained for the total magnetic moment is 0.001 Bohr magnetons per cell. The calculation puts the mass density at 13182 kg/m3. As for the energy: -45.1 eV/cell. As for the formation energy: 0.615 eV per atom.

Cell: 7.4787 7.4787 5.8337 Å, 90.00 90.00 90.00°
Last column: nearest neighbours and their distance in Å.
Space group I-42d (No. 122)
One atom of each set of equivalent atoms:
Ta: 0.0000 0.0000 0.0000 x4  4 Hg 2.84, 2 Zn 2.92
Zn: 0.0000 0.0000 0.5000 x4  4 Hg 2.65, 2 Ta 2.92
Hg: 0.2317 0.2500 0.6250 x8  2 Zn 2.65, 2 Ta 2.84, 2 Hg 2.93

A relaxed structure of Tb19Ho4Th6, computed with PBE.

The value obtained for the total magnetic moment is 0.004 Bohr magnetons per cell. The calculation puts the mass density at 8723 kg/m3. As for the energy: -277.6 eV/cell. As for the formation energy: 0.414 eV per atom.

Cell: 12.4523 12.4523 12.4523 Å, 90.00 90.00 90.00°
Last column: nearest neighbours and their distance in Å.
Space group I23 (No. 197)
One atom of each set of equivalent atoms:
Tb: 0.0000 0.0000 0.0000 x2  6 Tb 3.30
Tb: 0.0000 0.0000 0.2654 x12  5 Tb 3.30-3.56, 2 Ho 3.32, 2 Th 3.34
Tb: 0.0658 0.2779 0.7421 x24  1 Th 3.20, 4 Tb 3.32-3.57, 2 Ho 3.33-3.43
Ho: 0.1780 0.1780 0.1780 x8  9 Tb 3.32-3.43
Th: 0.0000 0.1300 0.5000 x12  4 Tb 3.20-3.34, 1 Th 3.24

A relaxed structure of Cs2HfHgI6, computed with PBE.

The uncorrected formation energy comes out at -1086 meV/atom. Its energy above the most stable polymorph in this dataset is 0 meV/atom. The value obtained for the total magnetic moment is 0.000 Bohr magnetons per cell. The calculation puts the mass density at 3950 kg/m3. As for the energy: -192.8 eV/cell.

Cell: 8.3759 8.3759 58.3824 Å, 90.00 90.00 120.00°
Last column: nearest neighbours and their distance in Å.
Space group R-3m (No. 166, hexagonal axes)
One atom of each set of equivalent atoms:
Cs: 0.0000 0.0000 0.1415 x6  9 I 4.02-4.19
Cs: 0.0000 0.0000 0.3093 x6  9 I 3.97-4.20
Hf: 0.0000 0.0000 0.0000 x3  6 I 2.86
Hf: 0.0000 0.0000 0.5000 x3  6 I 2.86
Hg: 0.0000 0.0000 0.4151 x6  6 I 3.99-4.03
I: 0.0123 0.5062 0.1381 x18  1 Hf 2.86
I: 0.0127 0.5064 0.6953 x18  1 Hf 2.86

A relaxed structure of CaNbSe2, computed with PBE.

The uncorrected formation energy comes out at -792 meV/atom. Its energy above the most stable polymorph in this dataset is 114 meV/atom. The value obtained for the total magnetic moment is 4.000 Bohr magnetons per cell. The calculation puts the mass density at 6108 kg/m3. As for the energy: -88.8 eV/cell.

Cell: 6.8137 6.8137 6.8137 Å, 90.00 90.00 90.00°
Last column: nearest neighbours and their distance in Å.
Space group Fm-3m (No. 225)
One atom of each set of equivalent atoms:
Ca: 0.0000 0.0000 0.0000 x4  8 Se 2.95
Nb: 0.0000 0.0000 0.5000 x4  8 Se 2.95
Se: 0.2500 0.2500 0.2500 x8  4 Nb 2.95, 4 Ca 2.95

A relaxed structure of SmMgTc4, computed with PBE.

The value obtained for the total magnetic moment is 0.000 Bohr magnetons per cell. The calculation puts the mass density at 8719 kg/m3. As for the energy: -189.6 eV/cell. As for the formation energy: 0.063 eV per atom.

Cell: 7.5578 7.5578 7.5578 Å, 90.00 90.00 90.00°
Last column: nearest neighbours and their distance in Å.
Space group F-43m (No. 216)
One atom of each set of equivalent atoms:
Sm: 0.0000 0.0000 0.0000 x4  12 Tc 3.13, 4 Mg 3.27
Mg: 0.2500 0.2500 0.2500 x4  12 Tc 3.13, 4 Sm 3.27
Tc: 0.1245 0.1245 0.6245 x16  6 Tc 2.66-2.68

A relaxed structure of Pt2WSe, computed with PBE.

The uncorrected formation energy comes out at 326 meV/atom. The value obtained for the total magnetic moment is 0.000 Bohr magnetons per cell. The calculation puts the mass density at 16008 kg/m3. As for the energy: -54.4 eV/cell.

Cell: 3.0881 4.6610 9.4115 Å, 90.00 90.00 90.00°
Last column: nearest neighbours and their distance in Å.
Space group Cmm2 (No. 35)
One atom of each set of equivalent atoms:
Pt: 0.0000 0.0000 0.0000 x2  2 W 2.66, 6 Pt 2.80
Pt: 0.0000 0.5000 0.2480 x2  8 Pt 2.80-3.09, 2 Se 3.11
W: 0.0000 0.5000 0.7703 x2  2 Pt 2.66, 2 Se 2.70, 4 W 2.80
Se: 0.0000 0.0000 0.5351 x2  2 W 2.70, 4 Se 2.80

A relaxed structure of CaBe2, computed with PBE.

Its energy above the most stable polymorph in this dataset is 226 meV/atom. The value obtained for the total magnetic moment is 0.000 Bohr magnetons per cell. The calculation puts the mass density at 2030 kg/m3. As for the energy: -16.5 eV/cell. As for the formation energy: 0.408 eV per atom.

Cell: 2.9317 3.1317 10.3537 Å, 90.00 90.00 90.00°
Last column: nearest neighbours and their distance in Å.
Space group Immm (No. 71)
One atom of each set of equivalent atoms:
Ca: 0.0000 0.0000 0.0000 x2  4 Ca 2.93-3.13, 10 Be 2.96-3.08
Be: 0.0000 0.0000 0.2861 x4  4 Be 2.27

A relaxed structure of ZrGe3Te, computed with PBE.

The uncorrected formation energy comes out at 529 meV/atom. Its energy above the most stable polymorph in this dataset is 0 meV/atom. The value obtained for the total magnetic moment is 0.000 Bohr magnetons per cell. The calculation puts the mass density at 4984 kg/m3. As for the energy: -22.9 eV/cell.

Cell: 5.2597 5.2597 5.2597 Å, 90.00 90.00 90.00°
Last column: nearest neighbours and their distance in Å.
Space group Pm-3m (No. 221)
One atom of each set of equivalent atoms:
Zr: 0.0000 0.0000 0.0000 x1  6 Ge 2.63
Ge: 0.0000 0.0000 0.5000 x3  2 Zr 2.63
Te: 0.5000 0.5000 0.5000 x1  12 Ge 3.72